No. 1
A plane-wave DFT calculation with PBE was carried out for crystalline Pm2HoIn3 at its relaxed geometry.

Results
energy relative to the elements = -0.4844 eV per atom
energy above the lowest structure with this stoichiometry = 0.000 eV per atom

POSCAR file:
```
Pm2HoIn3
1.0
3.797 0.000 0.000
0.000 3.797 0.000
0.000 0.000 11.549
In Pm Ho
3 2 1
direct
0.000 0.000 0.000 In
0.000 0.000 0.657 In
0.000 0.000 0.343 In
0.500 0.500 0.171 Pm
0.500 0.500 0.829 Pm
0.500 0.500 0.500 Ho
```



No. 2
A plane-wave DFT calculation with PBE was carried out for crystalline KSn2Te2 at its relaxed geometry.

Results
energy above the lowest structure with this stoichiometry = 0.116 eV per atom

POSCAR file:
```
KSn2Te2
1.0
9.003 0.000 0.000
0.000 9.003 0.000
0.000 0.000 4.093
Sn Te K
4 4 2
direct
0.380 0.880 0.000 Sn
0.620 0.120 0.000 Sn
0.880 0.620 0.000 Sn
0.120 0.380 0.000 Sn
0.299 0.201 0.500 Te
0.799 0.299 0.500 Te
0.201 0.701 0.500 Te
0.701 0.799 0.500 Te
0.000 0.000 0.000 K
0.500 0.500 0.000 K
```